No. 1
LiCaAlPt PBE optimized geometry; E_tot = -4.0163 eV/atom; calculated formation energy = -0.592 eV/atom; symmetry = F-43m, No. 216; N(E_F) = 0.4648 states/eV/atom
1.0
-4.301 -1.746 0.648
-1.925 -2.760 -3.262
-0.570 -4.575 0.841
Al Pt Ca Li
1 1 1 1
direct
0.000 0.000 0.000
0.750 0.750 0.750
0.500 0.500 0.500
0.250 0.250 0.250

---

No. 2
Li2CaAlS4 PBE optimized geometry; E_tot = -4.4997 eV/atom; symmetry = I-42m, No. 121; N(E_F) = 1.0321 states/eV/atom
1.0
6.518 0.000 0.000
3.259 4.921 -0.613
3.259 -0.064 4.959
Al S Li Ca
1 4 2 1
direct
0.000 0.500 0.500
0.000 0.452 0.133
0.415 0.133 0.452
0.585 0.548 0.867
0.000 0.867 0.548
0.500 0.250 0.750
0.500 0.750 0.250
0.000 0.000 0.000

---

No. 3
Li2CaAlSe4 PBE optimized geometry; E_tot = -4.0676 eV/atom; symmetry = I-42m, No. 121; N(E_F) = 0.9460 states/eV/atom
1.0
6.921 0.000 0.000
3.460 5.132 -0.547
3.460 0.025 5.161
Se Li Ca Al
4 2 1 1
direct
0.000 0.459 0.127
0.415 0.127 0.459
0.000 0.873 0.541
0.585 0.541 0.873
0.500 0.750 0.250
0.500 0.250 0.750
0.000 0.000 0.000
0.000 0.500 0.500

---

No. 4
Li2CaAl2Si2 PBE optimized geometry; E_tot = -3.7639 eV/atom; symmetry = R-3m, No. 166; N(E_F) = 0.2457 states/eV/atom
1.0
4.236 0.000 0.000
-2.118 3.654 -0.285
0.000 -1.804 8.303
Li Si Al Ca
2 2 2 1
direct
0.147 0.294 0.442
0.853 0.706 0.558
0.745 0.489 0.233
0.255 0.511 0.767
0.559 0.119 0.678
0.441 0.881 0.322
0.000 0.000 0.000

---

No. 5
LiCaAl2Si2 PBE optimized geometry; E_tot = -3.9938 eV/atom; symmetry = P-3m1, No. 164; N(E_F) = 0.3433 states/eV/atom
1.0
-0.324 -1.489 4.110
0.350 -2.825 -3.334
6.641 0.143 0.575
Li Al Si Ca
1 2 2 1
direct
0.000 0.000 0.500
0.333 0.667 0.664
0.667 0.333 0.336
0.333 0.667 0.274
0.667 0.333 0.726
0.000 0.000 0.000

---

No. 6
LiCa2AlSi2 PBE optimized geometry; E_tot = -3.8706 eV/atom; symmetry = Ibam, No. 72; N(E_F) = 0.1159 states/eV/atom
1.0
6.019 0.000 0.000
0.000 6.064 0.000
-3.009 -3.032 7.006
Li Ca Si Al
2 4 4 2
direct
0.000 0.750 0.000
0.000 0.250 0.000
0.926 0.666 0.332
0.594 0.834 0.668
0.074 0.334 0.668
0.406 0.166 0.332
0.845 0.110 0.220
0.375 0.610 0.220
0.625 0.390 0.780
0.155 0.890 0.780
0.500 0.250 0.000
0.500 0.750 0.000

---

No. 7
LiCaSmAl PBE optimized geometry; E_tot = -3.2563 eV/atom; calculated formation energy = -0.162 eV/atom; symmetry = F-43m, No. 216; N(E_F) = 0.7870 states/eV/atom
1.0
-2.558 -3.267 -3.302
2.555 -2.130 -4.130
1.147 -5.177 -0.024
Li Sm Al Ca
1 1 1 1
direct
0.000 0.000 0.000
0.750 0.750 0.750
0.500 0.500 0.500
0.250 0.250 0.250

---

No. 8
Li2CaAlSn2 PBE optimized geometry; E_tot = -3.3085 eV/atom; calculated formation energy = -0.379 eV/atom; symmetry = Pmc2_1, No. 26; N(E_F) = 0.2455 states/eV/atom
1.0
-4.072 1.703 0.949
-2.961 -3.893 -5.718
-1.469 -6.343 5.080
Li Sn Ca Al
4 4 2 2
direct
0.000 0.861 0.813
0.500 0.533 0.929
0.000 0.361 0.187
0.500 0.033 0.071
0.000 0.229 0.881
0.500 0.279 0.364
0.000 0.729 0.119
0.500 0.779 0.636
0.000 0.991 0.431
0.000 0.491 0.569
0.500 0.154 0.690
0.500 0.654 0.310

---

No. 9
LiCaAlSn PBE optimized geometry; E_tot = -3.1720 eV/atom; calculated formation energy = -0.257 eV/atom; symmetry = F-43m, No. 216; N(E_F) = 0.3853 states/eV/atom
1.0
-1.331 -0.835 4.824
-4.230 -2.597 1.052
0.311 -4.676 1.945
Al Li Sn Ca
1 1 1 1
direct
0.750 0.750 0.750
0.500 0.500 0.500
0.250 0.250 0.250
0.000 0.000 0.000

---

No. 10
Li3Ca2AlSn4 PBE optimized geometry; E_tot = -3.3816 eV/atom; calculated formation energy = -0.432 eV/atom; symmetry = P-4m2, No. 115; N(E_F) = 0.4476 states/eV/atom
1.0
-1.221 0.270 4.199
-3.552 -2.411 -0.878
6.297 -10.183 2.486
Li Ca Sn Al
3 2 4 1
direct
0.000 0.500 0.142
0.500 0.000 0.858
0.000 0.000 0.500
0.000 0.500 0.752
0.500 0.000 0.248
0.500 0.000 0.642
0.500 0.500 0.000
0.000 0.000 0.000
0.000 0.500 0.358
0.500 0.500 0.500

---

No. 11
SrLiCaAl PBE optimized geometry; E_tot = -2.4312 eV/atom; calculated formation energy = -0.096 eV/atom; symmetry = F-43m, No. 216; N(E_F) = 1.1169 states/eV/atom
1.0
-0.970 -4.711 -2.757
2.012 -4.797 1.916
-3.437 -3.797 2.123
Li Al Ca Sr
1 1 1 1
direct
0.000 0.000 0.000
0.500 0.500 0.500
0.750 0.750 0.750
0.250 0.250 0.250

---

No. 12
LiCaTbAl PBE optimized geometry; E_tot = -3.2256 eV/atom; calculated formation energy = -0.154 eV/atom; symmetry = F-43m, No. 216; N(E_F) = 0.7519 states/eV/atom
1.0
5.258 0.000 0.000
2.629 4.553 0.000
2.629 1.518 4.293
Ca Li Tb Al
1 1 1 1
direct
0.250 0.250 0.250
0.000 0.000 0.000
0.750 0.750 0.750
0.500 0.500 0.500